VASP calculation (PBE-GGA) on crystalline MgTa2Ir2 at its relaxed geometry.

Volume: 17.604 A^3/atom
Excess energy over the best structure of this formula in the dataset: 0 meV/atom
E_form: -442 meV per atom
Calculated total energy: -9.05 eV/atom

a b c (Å): 7.727 7.727 2.948
angles (deg): 90.00 90.00 90.00
Element x y z (fractional)
1 Mg 0.000 0.000 0.000
2 Mg 0.500 0.500 0.000
3 Ta 0.162 0.338 0.500
4 Ta 0.338 0.838 0.500
5 Ta 0.662 0.162 0.500
6 Ta 0.838 0.662 0.500
7 Ir 0.132 0.632 0.000
8 Ir 0.368 0.132 0.000
9 Ir 0.632 0.868 0.000
10 Ir 0.868 0.368 0.000